{
  "formula": "Dy5HoTm3",
  "functional": "GGA-PBE",
  "state": "relaxed",
  "formation_enthalpy_0k_ev_per_atom": 0.52,
  "magmom_total_mub_per_fu": 0.0,
  "vol_a3_per_atom": 35.37,
  "polymorph_energy_mev_per_atom": 385,
  "cell": [[-6.092, 6.491, -2.986], [-7.029, -4.762, -4.010], [-11.169, 0.699, 2.539]],
  "species": ["Tm", "Tm", "Tm", "Tm", "Tm", "Tm", "Ho", "Ho", "Dy", "Dy", "Dy", "Dy", "Dy", "Dy", "Dy", "Dy", "Dy", "Dy"],
  "fractional_positions": [[0.341, 0.341, 0.640], [0.659, 0.659, 0.360], [0.310, 0.310, 0.180], [0.000, 0.000, 0.000], [0.690, 0.690, 0.820], [0.000, 0.000, 0.500], [0.851, 0.851, 0.402], [0.149, 0.149, 0.598], [0.742, 0.258, 0.000], [0.652, 0.148, 0.747], [0.183, 0.183, 0.039], [0.817, 0.817, 0.961], [0.148, 0.652, 0.747], [0.258, 0.742, 0.000], [0.852, 0.348, 0.253], [0.489, 0.489, 0.236], [0.511, 0.511, 0.764], [0.348, 0.852, 0.253]]
}



{
  "formula": "TaSi2SbCl",
  "functional": "GGA-PBE",
  "state": "relaxed",
  "magmom_total_mub_per_fu": 0.0,
  "vol_a3_per_atom": 28.35,
  "e_form_raw_mev_per_atom": 1609,
  "cell": [[5.184, 0.000, 0.000], [0.000, 5.276, 0.000], [0.000, 0.000, 5.184]],
  "species": ["Si", "Si", "Cl", "Sb", "Ta"],
  "fractional_positions": [[0.000, 0.000, 0.500], [0.500, 0.000, 0.000], [0.500, 0.500, 0.500], [0.000, 0.000, 0.000], [0.000, 0.500, 0.000]]
}



{
  "formula": "Pu4P2SCl",
  "functional": "GGA-PBE",
  "state": "relaxed",
  "magmom_total_mub_per_fu": 21.9,
  "vol_a3_per_atom": 22.76,
  "e_form_raw_mev_per_atom": -1364,
  "cell": [[-1.694, 3.575, -0.719], [-4.626, -1.191, 4.981], [2.442, 2.378, 6.076]],
  "species": ["P", "P", "Cl", "S", "Pu", "Pu", "Pu", "Pu"],
  "fractional_positions": [[0.000, 0.000, 0.000], [0.500, 0.000, 0.500], [0.000, 0.500, 0.500], [0.500, 0.500, 0.000], [0.000, 0.245, 0.247], [0.500, 0.759, 0.241], [0.500, 0.241, 0.759], [0.000, 0.755, 0.753]]
}



{
  "formula": "Ba2HgRh",
  "functional": "GGA-PBE",
  "state": "relaxed",
  "formation_enthalpy_0k_ev_per_atom": -0.18,
  "magmom_total_mub_per_fu": 0.0,
  "vol_a3_per_atom": 32.11,
  "cell": [[-0.352, -6.943, -0.308], [-5.670, -3.630, 1.762], [2.681, 5.025, -3.999]],
  "species": ["Rh", "Ba", "Ba", "Hg"],
  "fractional_positions": [[0.273, 0.773, 0.500], [0.746, 0.246, 0.500], [0.044, 0.044, 0.000], [0.437, 0.437, 0.000]]
}



{
  "formula": "ThTlNi",
  "functional": "GGA-PBE",
  "state": "relaxed",
  "formation_enthalpy_0k_ev_per_atom": -0.29,
  "magmom_total_mub_per_fu": 0.0,
  "vol_a3_per_atom": 23.08,
  "cell": [[-0.405, 0.387, -4.338], [-4.536, -3.953, 2.276], [-2.598, 4.566, 0.650]],
  "species": ["Ni", "Ni", "Th", "Th", "Tl", "Tl"],
  "fractional_positions": [[0.773, 0.546, 0.671], [0.227, 0.454, 0.329], [0.862, 0.724, 0.194], [0.138, 0.276, 0.806], [0.415, 0.830, 0.711], [0.585, 0.170, 0.289]]
}



{
  "formula": "Nb5B2As2",
  "functional": "GGA-PBE",
  "state": "relaxed",
  "formation_enthalpy_0k_ev_per_atom": -0.60,
  "magmom_total_mub_per_fu": 0.0,
  "vol_a3_per_atom": 15.02,
  "cell": [[6.010, 0.000, 2.182], [0.000, 6.368, 0.000], [0.740, 0.000, 7.332]],
  "species": ["Nb", "Nb", "Nb", "Nb", "Nb", "Nb", "Nb", "Nb", "Nb", "Nb", "B", "B", "B", "B", "As", "As", "As", "As"],
  "fractional_positions": [[0.290, 0.676, 0.762], [0.790, 0.824, 0.762], [0.500, 0.500, 0.000], [0.947, 0.324, 0.762], [0.447, 0.176, 0.762], [0.553, 0.824, 0.238], [0.000, 0.000, 0.000], [0.710, 0.324, 0.238], [0.053, 0.676, 0.238], [0.210, 0.176, 0.238], [0.606, 0.106, 0.000], [0.394, 0.894, 0.000], [0.894, 0.606, 0.000], [0.106, 0.394, 0.000], [0.288, 0.500, 0.423], [0.712, 0.500, 0.577], [0.212, 0.000, 0.577], [0.788, 0.000, 0.423]]
}



{
  "formula": "TbHo12Er6",
  "functional": "GGA-PBE",
  "state": "relaxed",
  "formation_enthalpy_0k_ev_per_atom": 0.45,
  "magmom_total_mub_per_fu": 0.0,
  "vol_a3_per_atom": 33.60,
  "polymorph_energy_mev_per_atom": 290,
  "cell": [[8.857, -0.441, -2.551], [-3.272, 8.242, -2.551], [-0.316, -0.441, 9.211]],
  "species": ["Er", "Er", "Er", "Er", "Er", "Er", "Ho", "Ho", "Ho", "Ho", "Ho", "Ho", "Ho", "Ho", "Ho", "Ho", "Ho", "Ho", "Tb"],
  "fractional_positions": [[0.315, 0.733, 0.315], [0.685, 0.267, 0.685], [0.685, 0.685, 0.267], [0.267, 0.685, 0.685], [0.315, 0.315, 0.733], [0.733, 0.315, 0.315], [0.141, 0.360, 0.360], [0.360, 0.360, 0.141], [0.111, 0.889, 0.500], [0.500, 0.889, 0.111], [0.360, 0.141, 0.360], [0.889, 0.500, 0.111], [0.111, 0.500, 0.889], [0.889, 0.111, 0.500], [0.640, 0.640, 0.859], [0.859, 0.640, 0.640], [0.640, 0.859, 0.640], [0.500, 0.111, 0.889], [0.000, 0.000, 0.000]]
}



{
  "formula": "Hg2PBr",
  "functional": "GGA-PBE",
  "state": "relaxed",
  "magmom_total_mub_per_fu": 0.0,
  "vol_a3_per_atom": 25.09,
  "e_form_raw_mev_per_atom": 377,
  "polymorph_energy_mev_per_atom": 572,
  "cell": [[-4.412, 4.480, 3.588], [-5.318, 1.447, 4.694], [1.880, 0.884, 3.965]],
  "species": ["P", "Hg", "Hg", "Br"],
  "fractional_positions": [[0.750, 0.750, 0.750], [0.445, 0.445, 0.554], [0.055, 0.055, 0.946], [0.250, 0.250, 0.250]]
}



{
  "formula": "SbTe",
  "functional": "GGA-PBE",
  "state": "relaxed",
  "magmom_total_mub_per_fu": 0.0,
  "vol_a3_per_atom": 30.05,
  "e_form_raw_mev_per_atom": 214,
  "polymorph_energy_mev_per_atom": 319,
  "cell": [[-2.227, -2.277, 0.074], [2.442, -1.252, 1.618], [-4.453, 4.692, 10.354]],
  "species": ["Sb", "Sb", "Te", "Te"],
  "fractional_positions": [[0.500, 0.500, 0.773], [0.000, 0.000, 0.977], [0.500, 0.500, 0.220], [0.000, 0.000, 0.530]]
}



{
  "formula": "CsRb2NpCl8",
  "functional": "GGA-PBE",
  "state": "relaxed",
  "magmom_total_mub_per_fu": 2.6,
  "vol_a3_per_atom": 39.18,
  "e_form_raw_mev_per_atom": -1696,
  "cell": [[-1.821, 2.678, 5.301], [4.488, -5.320, 2.446], [8.125, 6.602, -0.544]],
  "species": ["Np", "Cl", "Cl", "Cl", "Cl", "Cl", "Cl", "Cl", "Cl", "Cs", "Rb", "Rb"],
  "fractional_positions": [[0.000, 0.000, 0.000], [0.907, 0.211, 0.824], [0.455, 0.747, 0.500], [0.906, 0.211, 0.176], [0.384, 0.204, 0.000], [0.545, 0.253, 0.500], [0.094, 0.789, 0.824], [0.616, 0.796, 0.000], [0.093, 0.789, 0.176], [0.000, 0.000, 0.500], [0.500, 0.500, 0.743], [0.500, 0.500, 0.257]]
}



{
  "formula": "CdCu3Ir",
  "functional": "GGA-PBE",
  "state": "relaxed",
  "formation_enthalpy_0k_ev_per_atom": 0.93,
  "magmom_total_mub_per_fu": 0.0,
  "vol_a3_per_atom": 20.40,
  "polymorph_energy_mev_per_atom": 0,
  "cell": [[4.673, 0.000, 0.000], [0.000, 4.673, 0.000], [0.000, 0.000, 4.673]],
  "species": ["Cu", "Cu", "Cu", "Cd", "Ir"],
  "fractional_positions": [[0.000, 0.000, 0.500], [0.000, 0.500, 0.000], [0.500, 0.000, 0.000], [0.500, 0.500, 0.500], [0.000, 0.000, 0.000]]
}



{
  "formula": "NaLiGa2",
  "functional": "GGA-PBE",
  "state": "relaxed",
  "formation_enthalpy_0k_ev_per_atom": -0.12,
  "magmom_total_mub_per_fu": 0.0,
  "vol_a3_per_atom": 19.01,
  "polymorph_energy_mev_per_atom": 60,
  "cell": [[-1.034, 0.919, -2.807], [-0.796, -2.951, -0.672], [-7.056, 1.221, 2.999]],
  "species": ["Ga", "Ga", "Na", "Li"],
  "fractional_positions": [[0.000, 0.000, 0.201], [0.000, 0.000, 0.799], [0.500, 0.500, 0.500], [0.500, 0.500, 0.000]]
}